# MgMnSi3

A geometry-optimized MgMnSi3 structure (PBE-GGA, the Alexandria database).

Cell and atoms, written as POSCAR:
```
MgMnSi3
1.0
4.468 0.000 0.000
0.000 4.468 0.000
0.000 0.000 4.468
Mg Mn Si
1 1 3
direct
0.000 0.000 0.000
0.500 0.500 0.500
0.000 0.500 0.500
0.500 0.000 0.500
0.500 0.500 0.000
```

DOS(E_F), states/eV per cell: 3.5
ΔE_f (raw), meV per atom: 291
Relative energy among the computed polymorphs, eV per atom: 0.0000


# SnAuS3

A geometry-optimized SnAuS3 structure (PBE-GGA, the Alexandria database).

Cell and atoms, written as POSCAR:
```
SnAuS3
1.0
2.688 -4.570 0.000
2.688 4.570 0.000
0.000 0.000 10.502
Sn Au S
2 2 6
direct
0.000 0.000 0.000
0.000 0.000 0.500
0.399 0.601 0.750
0.601 0.399 0.250
0.086 0.914 0.250
0.386 0.614 0.523
0.386 0.614 0.977
0.614 0.386 0.023
0.614 0.386 0.477
0.914 0.086 0.750
```

DOS(E_F), states/eV per cell: 3.7
ΔE_f (raw), meV per atom: 40
Relative energy among the computed polymorphs, eV per atom: 0.0000


# Nd4Er3Th2

A geometry-optimized Nd4Er3Th2 structure (PBE-GGA, the Alexandria database).

Cell and atoms, written as POSCAR:
```
Nd4Er3Th2
1.0
3.581 0.000 0.000
-1.791 3.102 0.000
0.000 0.000 27.021
Nd Er Th
4 3 2
direct
0.000 0.000 0.000
0.000 0.000 0.214
0.333 0.667 0.330
0.333 0.667 0.546
0.000 0.000 0.437
0.333 0.667 0.106
0.333 0.667 0.765
0.000 0.000 0.658
0.000 0.000 0.872
```

DOS(E_F), states/eV per cell: 16.4
Energy relative to the elements, eV per atom: 0.079
Relative energy among the computed polymorphs, eV per atom: 0.0000


# Zn2AgSb

A geometry-optimized Zn2AgSb structure (PBE-GGA, the Alexandria database).

Cell and atoms, written as POSCAR:
```
Zn2AgSb
1.0
4.348 -1.611 0.000
4.348 1.611 0.000
-1.139 0.000 5.603
Zn Ag Sb
2 1 1
direct
0.000 0.000 0.000
0.740 0.740 0.195
0.257 0.257 0.796
0.499 0.499 0.490
```

DOS(E_F), states/eV per cell: 1.2
ΔE_f (raw), meV per atom: 72


# MgCdAsAu

A geometry-optimized MgCdAsAu structure (PBE-GGA, the Alexandria database).

Cell and atoms, written as POSCAR:
```
MgCdAsAu
1.0
0.000 3.415 3.415
3.415 0.000 3.415
3.415 3.415 0.000
Mg Cd As Au
1 1 1 1
direct
0.000 0.000 0.000
0.500 0.500 0.500
0.250 0.250 0.250
0.750 0.750 0.750
```

DOS(E_F), states/eV per cell: 0.9
Energy relative to the elements, eV per atom: -0.195


# ZnFeAs2Br

A geometry-optimized ZnFeAs2Br structure (PBE-GGA, the Alexandria database).

Cell and atoms, written as POSCAR:
```
ZnFeAs2Br
1.0
4.777 0.000 0.000
0.000 4.777 0.000
0.000 0.000 5.287
Zn Fe As Br
1 1 2 1
direct
0.000 0.000 0.000
0.500 0.500 0.500
0.000 0.500 0.000
0.500 0.000 0.000
0.000 0.000 0.500
```

DOS(E_F), states/eV per cell: 7.6
ΔE_f (raw), meV per atom: 939
Relative energy among the computed polymorphs, eV per atom: 0.5705


# Cs2KMnBr6

A geometry-optimized Cs2KMnBr6 structure (PBE-GGA, the Alexandria database).

Cell and atoms, written as POSCAR:
```
Cs2KMnBr6
1.0
0.000 5.736 5.736
5.736 0.000 5.736
5.736 5.736 0.000
Cs K Mn Br
2 1 1 6
direct
0.250 0.250 0.250
0.750 0.750 0.750
0.000 0.000 0.000
0.500 0.500 0.500
0.276 0.276 0.724
0.276 0.724 0.276
0.276 0.724 0.724
0.724 0.276 0.276
0.724 0.276 0.724
0.724 0.724 0.276
```

DOS(E_F), states/eV per cell: 2.3
ΔE_f (raw), meV per atom: -1332
Relative energy among the computed polymorphs, eV per atom: 0.0111


# BaMnIr

A geometry-optimized BaMnIr structure (PBE-GGA, the Alexandria database).

Cell and atoms, written as POSCAR:
```
BaMnIr
1.0
0.000 5.174 3.929
3.879 0.000 3.929
3.879 5.174 0.000
Ba Mn Ir
2 2 2
direct
0.190 0.810 0.190
0.810 0.190 0.810
0.222 0.483 0.778
0.483 0.222 0.517
0.487 0.806 0.513
0.806 0.487 0.194
```

DOS(E_F), states/eV per cell: 6.6
Energy relative to the elements, eV per atom: 0.184
Relative energy among the computed polymorphs, eV per atom: 0.1698